[1]
A relaxed structure of BaTePdI2. Source: Alexandria via LeMat-Bulk, functional PBE.

a b c (Å): 5.525 5.525 5.620
angles (deg): 90.00 90.00 90.00
Sites, in units of the cell vectors:
Ba 0.000 0.000 0.000
Te 0.500 0.500 0.000
Pd 0.500 0.500 0.500
I 0.000 0.500 0.500
I 0.500 0.000 0.500

Calculated values
crystal system = tetragonal
formation energy without anion corrections = -0.856 eV per atom
distance to the lowest polymorph of the same formula = 0 meV/atom

***

[2]
A relaxed structure of Ba4TePdI2. Source: Alexandria via LeMat-Bulk, functional PBE.

a b c (Å): 8.683 4.768 8.894
angles (deg): 90.00 106.67 90.00
Sites, in units of the cell vectors:
Ba 0.221 0.000 0.210
Ba 0.237 0.500 0.789
Ba 0.763 0.500 0.211
Ba 0.779 0.000 0.790
Te 0.500 0.000 0.000
Pd 0.000 0.500 0.000
I 0.000 0.000 0.500
I 0.500 0.500 0.500

Calculated values
crystal system = monoclinic
formation energy without anion corrections = -1.254 eV per atom

***

[3]
A relaxed structure of BaTiPdI2. Source: Alexandria via LeMat-Bulk, functional PBE.

a b c (Å): 5.294 5.294 7.426
angles (deg): 90.00 90.00 90.00
Sites, in units of the cell vectors:
Ba 0.000 0.000 0.000
Ti 0.000 0.000 0.500
Pd 0.500 0.500 0.000
I 0.000 0.500 0.500
I 0.500 0.000 0.500

Calculated values
crystal system = tetragonal
formation energy without anion corrections = 0.094 eV per atom

***

[4]
A relaxed structure of Ba4TlPdI2. Source: Alexandria via LeMat-Bulk, functional PBE.

a b c (Å): 8.513 4.726 9.279
angles (deg): 90.00 107.09 90.00
Sites, in units of the cell vectors:
Ba 0.227 0.000 0.206
Ba 0.240 0.500 0.781
Ba 0.760 0.500 0.219
Ba 0.773 0.000 0.794
Tl 0.500 0.000 0.000
Pd 0.000 0.500 0.000
I 0.000 0.000 0.500
I 0.500 0.500 0.500

Calculated values
crystal system = monoclinic
formation energy without anion corrections = -0.908 eV per atom

***

[5]
A relaxed structure of BaVPdI2. Source: Alexandria via LeMat-Bulk, functional PBE.

a b c (Å): 6.561 6.561 6.789
angles (deg): 90.00 90.00 90.00
Sites, in units of the cell vectors:
Ba 0.000 0.000 0.000
V 0.000 0.000 0.500
Pd 0.500 0.500 0.500
I 0.000 0.500 0.000
I 0.500 0.000 0.000

Calculated values
crystal system = tetragonal
formation energy without anion corrections = 0.787 eV per atom

***

[6]
A relaxed structure of BaPmI2. Source: Alexandria via LeMat-Bulk, functional PBE.

a b c (Å): 11.724 11.724 11.724
angles (deg): 20.44 20.44 20.44
Sites, in units of the cell vectors:
Ba 0.000 0.000 0.000
Pm 0.500 0.500 0.500
I 0.104 0.104 0.104
I 0.896 0.896 0.896

Calculated values
crystal system = trigonal
formation energy without anion corrections = -0.916 eV per atom

***

[7]
A relaxed structure of BaPmI5. Source: Alexandria via LeMat-Bulk, functional PBE.

a b c (Å): 9.494 4.765 15.143
angles (deg): 90.00 92.66 90.00
Sites, in units of the cell vectors:
Ba 0.084 0.250 0.148
Ba 0.916 0.750 0.852
Pm 0.419 0.750 0.353
Pm 0.581 0.250 0.647
I 0.087 0.750 0.330
I 0.157 0.250 0.924
I 0.328 0.250 0.486
I 0.366 0.750 0.146
I 0.384 0.750 0.701
I 0.616 0.250 0.299
I 0.634 0.250 0.854
I 0.672 0.750 0.514
I 0.843 0.750 0.076
I 0.913 0.250 0.670

Calculated values
crystal system = monoclinic
formation energy without anion corrections = -1.541 eV per atom

***

[8]
A relaxed structure of BaPmI6. Source: Alexandria via LeMat-Bulk, functional PBE.

a b c (Å): 8.180 8.194 8.264
angles (deg): 90.16 119.15 119.94
Sites, in units of the cell vectors:
Ba 0.000 0.000 0.000
Pm 0.000 0.500 0.500
I 0.167 0.708 0.246
I 0.206 0.920 0.746
I 0.462 0.545 0.748
I 0.538 0.455 0.252
I 0.794 0.080 0.254
I 0.833 0.292 0.754

Calculated values
crystal system = triclinic
formation energy without anion corrections = -1.233 eV per atom

***

| no. | spin magnetization (Bohr magnetons per cell) |
| --- | --- |
| 1 | 0.0 |
| 2 | 0.0 |
| 3 | 2.9 |
| 4 | 0.0 |
| 5 | 4.7 |
| 6 | 0.0 |
| 7 | 0.0 |
| 8 | 0.1 |